[1]
YTaBe2Cd: relaxed, PBE.

Lattice parameters (Å, degrees): 4.571 4.571 5.180 90.00 90.00 90.00
Fractional coordinates of all 5 atoms:
Y (0.000, 0.000, 0.000)
Ta (0.500, 0.500, 0.500)
Be (0.000, 0.500, 0.000)
Be (0.500, 0.000, 0.000)
Cd (0.000, 0.000, 0.500)

Properties
space-group type	P4/mmm
E_form	2.0609	eV/atom

---

[2]
U2PaW: relaxed, PBE.

Lattice parameters (Å, degrees): 5.091 5.091 3.163 90.00 90.00 90.00
Fractional coordinates of all 4 atoms:
U (0.000, 0.500, 0.000)
U (0.500, 0.000, 0.000)
Pa (0.000, 0.000, 0.500)
W (0.500, 0.500, 0.500)

Properties
space-group type	P4/mmm
E_form	0.3541	eV/atom

---

[3]
BiMo3Ir: relaxed, PBE.

Lattice parameters (Å, degrees): 4.826 4.826 4.826 90.00 90.00 90.00
Fractional coordinates of all 5 atoms:
Bi (0.000, 0.000, 0.000)
Mo (0.000, 0.500, 0.500)
Mo (0.500, 0.000, 0.500)
Mo (0.500, 0.500, 0.000)
Ir (0.500, 0.500, 0.500)

Properties
space-group type	Pm-3m
E_form	1.3750	eV/atom

---

[4]
Mn2TcSn2: relaxed, PBE.

Lattice parameters (Å, degrees): 8.520 8.520 8.520 158.36 158.36 30.79
Fractional coordinates of all 5 atoms:
Mn (0.250, 0.750, 0.500)
Mn (0.750, 0.250, 0.500)
Tc (0.000, 0.000, 0.000)
Sn (0.394, 0.394, 0.000)
Sn (0.606, 0.606, 0.000)

Properties
space-group type	I4/mmm
E_form	0.4913	eV/atom

---

[5]
GeOsSO2: relaxed, PBE.

Lattice parameters (Å, degrees): 3.481 3.481 6.075 90.00 90.00 90.00
Fractional coordinates of all 5 atoms:
Ge (0.000, 0.000, 0.000)
Os (0.000, 0.000, 0.500)
S (0.500, 0.500, 0.500)
O (0.000, 0.500, 0.000)
O (0.500, 0.000, 0.000)

Properties
space-group type	P4/mmm
E_tot	-29.4	eV/cell

---

[6]
La8Ga2Ag: relaxed, PBE.

Lattice parameters (Å, degrees): 9.777 9.777 7.477 106.40 106.40 30.28
Fractional coordinates of all 11 atoms:
La (0.020, 0.020, 0.265)
La (0.203, 0.203, 0.807)
La (0.334, 0.334, 0.535)
La (0.410, 0.410, 0.038)
La (0.590, 0.590, 0.962)
La (0.666, 0.666, 0.465)
La (0.797, 0.797, 0.193)
La (0.980, 0.980, 0.735)
Ga (0.182, 0.182, 0.210)
Ga (0.818, 0.818, 0.790)
Ag (0.500, 0.500, 0.500)

Properties
space-group type	C2/m
E_form	-0.2499	eV/atom

---

[7]
CsTlGa2: relaxed, PBE.

Lattice parameters (Å, degrees): 7.624 7.624 7.624 37.29 37.29 37.29
Fractional coordinates of all 4 atoms:
Cs (0.000, 0.000, 0.000)
Tl (0.500, 0.500, 0.500)
Ga (0.207, 0.207, 0.207)
Ga (0.793, 0.793, 0.793)

Properties
space-group type	R-3m
E_form	0.0295	eV/atom

---

[8]
TbEuZnPd: relaxed, PBE.

Lattice parameters (Å, degrees): 5.101 5.101 5.101 60.00 60.00 60.00
Fractional coordinates of all 4 atoms:
Tb (0.000, 0.000, 0.000)
Eu (0.500, 0.500, 0.500)
Zn (0.250, 0.250, 0.250)
Pd (0.750, 0.750, 0.750)

Properties
space-group type	F-43m
E_form	-0.4911	eV/atom